Computed, not measured: a relaxed structure of BePt2Se at the PBE-GGA level of DFT.

Summary:
- ΔE to the lowest computed polymorph (meV per atom) = 19
- M_tot (μB/atom) = 0.0000
- space group = C2/m, No. 12
- formation energy without anion corrections (meV/atom) = -221

```
BePt2Se
1.0
6.9264 0.0000 0.0000
0.0000 2.8088 0.0000
-0.8191 0.0000 6.3105
Be Pt Se
2 4 2
direct
0.0000 0.0000 0.0000
0.5000 0.5000 0.0000
0.2248 0.5000 0.1899
0.2752 0.0000 0.8101
0.7248 0.0000 0.1899
0.7752 0.5000 0.8101
0.0000 0.5000 0.5000
0.5000 0.0000 0.5000
```

Computed, not measured: a relaxed structure of Rb4La3PaTe8 at the PBE-GGA level of DFT.

Summary:
- M_tot (μB/atom) = 0.1206
- space group = R-3m, No. 166
- formation energy without anion corrections (meV/atom) = -1331

```
Rb4La3PaTe8
1.0
4.6919 2.7089 8.5738
-4.6919 2.7089 8.5738
0.0000 -5.4178 8.5738
Rb La Pa Te
4 3 1 8
direct
0.0000 0.0000 0.0000
0.0000 0.5000 0.5000
0.5000 0.0000 0.5000
0.5000 0.5000 0.0000
0.0000 0.0000 0.5000
0.0000 0.5000 0.0000
0.5000 0.0000 0.0000
0.5000 0.5000 0.5000
0.2362 0.2362 0.2362
0.2442 0.7305 0.7305
0.2695 0.2695 0.7558
0.2695 0.7558 0.2695
0.7305 0.2442 0.7305
0.7305 0.7305 0.2442
0.7558 0.2695 0.2695
0.7638 0.7638 0.7638
```

Computed, not measured: a relaxed structure of ZrBeCl4 at the PBE-GGA level of DFT.

Summary:
- M_tot (μB/atom) = 0.0008
- space group = F-43m, No. 216
- formation energy without anion corrections (meV/atom) = 695

```
ZrBeCl4
1.0
0.0000 4.0204 4.0204
4.0204 0.0000 4.0204
4.0204 4.0204 0.0000
Zr Be Cl
1 1 4
direct
0.0000 0.0000 0.0000
0.7500 0.7500 0.7500
0.3746 0.3746 0.3746
0.3746 0.3746 0.8762
0.3746 0.8762 0.3746
0.8762 0.3746 0.3746
```